# PBE USCl2O6, optimized geometry
data_USCl2O6
_symmetry_space_group_name_H-M 'C 1 2/m 1'
_symmetry_Int_Tables_number 12
_cell_length_a 11.633
_cell_length_b 6.129
_cell_length_c 4.886
_cell_angle_alpha 90.00
_cell_angle_beta 114.68
_cell_angle_gamma 90.00
loop_
_symmetry_equiv_pos_as_xyz
'x,y,z'
'-x,-y,-z'
'-x,y,-z'
'x,-y,z'
'x+1/2,y+1/2,z'
'-x+1/2,-y+1/2,-z'
'-x+1/2,y+1/2,-z'
'x+1/2,-y+1/2,z'
loop_
_atom_site_label
_atom_site_fract_x
_atom_site_fract_y
_atom_site_fract_z
U1 0.000 0.000 0.000
S1 0.000 0.500 0.500
Cl1 0.179 0.000 0.681
O1 0.001 0.322 0.275
O2 0.176 0.000 0.178
# **E_form (uncorrected)**: -1.0533 eV/atom
# **Total magnetization**: 0.00 μB/f.u.
# **D(E_F)**: 0.2200 states/eV per atom

***

# PBE Pr4Sn2H, optimized geometry
data_Pr4Sn2H
_symmetry_space_group_name_H-M 'P 1 21/m 1'
_symmetry_Int_Tables_number 11
_cell_length_a 6.536
_cell_length_b 6.727
_cell_length_c 9.642
_cell_angle_alpha 90.00
_cell_angle_beta 109.84
_cell_angle_gamma 90.00
loop_
_symmetry_equiv_pos_as_xyz
'x,y,z'
'-x,-y,-z'
'-x,y+1/2,-z'
'x,-y+1/2,z'
loop_
_atom_site_label
_atom_site_fract_x
_atom_site_fract_y
_atom_site_fract_z
Pr1 0.034 0.002 0.288
Pr2 0.378 0.250 0.062
Pr3 0.433 0.250 0.647
Sn1 0.188 0.750 0.036
Sn2 0.329 0.750 0.595
H1 0.221 0.250 0.802
# **Offset from the most stable computed form**: 8 meV per atom
# **Total magnetization**: 0.00 μB/f.u.
# **D(E_F)**: 0.8767 states/eV per atom

***

# PBE K2NpCdS4, optimized geometry
data_K2NpCdS4
_symmetry_space_group_name_H-M 'P 1 2/m 1'
_symmetry_Int_Tables_number 10
_cell_length_a 6.975
_cell_length_b 4.052
_cell_length_c 7.747
_cell_angle_alpha 90.00
_cell_angle_beta 108.89
_cell_angle_gamma 90.00
loop_
_symmetry_equiv_pos_as_xyz
'x,y,z'
'-x,-y,-z'
'-x,y,-z'
'x,-y,z'
loop_
_atom_site_label
_atom_site_fract_x
_atom_site_fract_y
_atom_site_fract_z
K1 0.000 0.000 0.000
K2 0.500 0.500 0.000
Np1 0.000 0.500 0.500
Cd1 0.500 0.000 0.500
S1 0.217 0.000 0.707
S2 0.261 0.500 0.306
# **E_form (uncorrected)**: -1.1302 eV/atom
# **Total magnetization**: 3.00 μB/f.u.
# **D(E_F)**: 1.3855 states/eV per atom

***

# PBE SrNd2Al, optimized geometry
data_SrNd2Al
_symmetry_space_group_name_H-M 'R -3 m'
_symmetry_Int_Tables_number 166
_symmetry_space_group_name_Hall '-R 3 2"'
_cell_length_a 3.7638
_cell_length_b 3.7638
_cell_length_c 35.7467
_cell_angle_alpha 90.00
_cell_angle_beta 90.00
_cell_angle_gamma 120.00
loop_
_atom_site_label
_atom_site_fract_x
_atom_site_fract_y
_atom_site_fract_z
Sr1 0.0000 0.0000 0.0000
Nd1 0.0000 0.0000 0.1049
Al1 0.0000 0.0000 0.5000
# **Offset from the most stable computed form**: 193 meV per atom
# **Formation energy**: 0.108 eV per atom
# **Total magnetization**: 0.00 μB/f.u.
# **D(E_F)**: 1.3402 states/eV per atom

***

# PBE MnPRh3, optimized geometry
data_MnPRh3
_symmetry_space_group_name_H-M 'P m -3 m'
_symmetry_Int_Tables_number 221
_symmetry_space_group_name_Hall '-P 4 2 3'
_cell_length_a 4.326
_cell_length_b 4.326
_cell_length_c 4.326
_cell_angle_alpha 90.00
_cell_angle_beta 90.00
_cell_angle_gamma 90.00
loop_
_atom_site_label
_atom_site_fract_x
_atom_site_fract_y
_atom_site_fract_z
Mn1 0.000 0.000 0.000
P1 0.500 0.500 0.500
Rh1 0.000 0.500 0.500
# **Offset from the most stable computed form**: 0 meV per atom
# **Formation energy**: 0.513 eV per atom
# **Total magnetization**: 0.44 μB/f.u.
# **D(E_F)**: 2.6183 states/eV per atom

***

# PBE Y6Ho19Tm4, optimized geometry
data_Y6Ho19Tm4
_symmetry_space_group_name_H-M 'I 2 3'
_symmetry_Int_Tables_number 197
_symmetry_space_group_name_Hall 'I 2 2 3'
_cell_length_a 12.381
_cell_length_b 12.381
_cell_length_c 12.381
_cell_angle_alpha 90.00
_cell_angle_beta 90.00
_cell_angle_gamma 90.00
loop_
_atom_site_label
_atom_site_fract_x
_atom_site_fract_y
_atom_site_fract_z
Y1 0.000 0.130 0.500
Ho1 0.000 0.000 0.000
Ho2 0.000 0.000 0.260
Ho3 0.065 0.276 0.742
Tm1 0.179 0.179 0.179
# **Formation energy**: 0.388 eV per atom
# **Total magnetization**: 0.01 μB/f.u.
# **D(E_F)**: 1.5877 states/eV per atom

***

# PBE BaEu2Ge, optimized geometry
data_BaEu2Ge
_symmetry_space_group_name_H-M 'P 4/m m m'
_symmetry_Int_Tables_number 123
_symmetry_space_group_name_Hall '-P 4 2'
_cell_length_a 3.892
_cell_length_b 3.892
_cell_length_c 10.114
_cell_angle_alpha 90.00
_cell_angle_beta 90.00
_cell_angle_gamma 90.00
loop_
_atom_site_label
_atom_site_fract_x
_atom_site_fract_y
_atom_site_fract_z
Ba1 0.000 0.000 0.000
Eu1 0.500 0.500 0.336
Ge1 0.000 0.000 0.500
# **Offset from the most stable computed form**: 0 meV per atom
# **Formation energy**: -0.277 eV per atom
# **Total magnetization**: 14.56 μB/f.u.
# **D(E_F)**: 1.0250 states/eV per atom

***

# PBE Pr4AlCd3, optimized geometry
data_Pr4AlCd3
_symmetry_space_group_name_H-M 'P m m 2'
_symmetry_Int_Tables_number 25
_cell_length_a 3.688
_cell_length_b 4.936
_cell_length_c 12.625
_cell_angle_alpha 90.00
_cell_angle_beta 90.00
_cell_angle_gamma 90.00
loop_
_symmetry_equiv_pos_as_xyz
'x,y,z'
'-x,-y,z'
'-x,y,z'
'x,-y,z'
loop_
_atom_site_label
_atom_site_fract_x
_atom_site_fract_y
_atom_site_fract_z
Pr1 0.000 0.000 0.000
Pr2 0.000 0.500 0.310
Pr3 0.500 0.000 0.490
Pr4 0.500 0.500 0.815
Al1 0.500 0.000 0.224
Cd1 0.000 0.000 0.723
Cd2 0.000 0.500 0.585
Cd3 0.500 0.500 0.089
# **Offset from the most stable computed form**: 44 meV per atom
# **Formation energy**: -0.277 eV per atom
# **Total magnetization**: 0.00 μB/f.u.
# **D(E_F)**: 0.8305 states/eV per atom

***

# PBE ScBe3N, optimized geometry
data_ScBe3N
_symmetry_space_group_name_H-M 'P m -3 m'
_symmetry_Int_Tables_number 221
_symmetry_space_group_name_Hall '-P 4 2 3'
_cell_length_a 3.770
_cell_length_b 3.770
_cell_length_c 3.770
_cell_angle_alpha 90.00
_cell_angle_beta 90.00
_cell_angle_gamma 90.00
loop_
_atom_site_label
_atom_site_fract_x
_atom_site_fract_y
_atom_site_fract_z
Sc1 0.000 0.000 0.000
Be1 0.000 0.500 0.500
N1 0.500 0.500 0.500
# **E_form (uncorrected)**: 0.2742 eV/atom
# **Offset from the most stable computed form**: 0 meV per atom
# **Total magnetization**: 0.00 μB/f.u.
# **D(E_F)**: 0.6536 states/eV per atom

***

# PBE HfTlRu2, optimized geometry
data_HfTlRu2
_symmetry_space_group_name_H-M 'F m -3 m'
_symmetry_Int_Tables_number 225
_symmetry_space_group_name_Hall '-F 4 2 3'
_cell_length_a 6.515
_cell_length_b 6.515
_cell_length_c 6.515
_cell_angle_alpha 90.00
_cell_angle_beta 90.00
_cell_angle_gamma 90.00
loop_
_atom_site_label
_atom_site_fract_x
_atom_site_fract_y
_atom_site_fract_z
Hf1 0.000 0.000 0.000
Tl1 0.000 0.000 0.500
Ru1 0.250 0.250 0.250
# **Offset from the most stable computed form**: 0 meV per atom
# **Formation energy**: -0.138 eV per atom
# **Total magnetization**: 0.00 μB/f.u.
# **D(E_F)**: 1.1345 states/eV per atom

***

# PBE BeCuPb3, optimized geometry
data_BeCuPb3
_symmetry_space_group_name_H-M 'P m -3 m'
_symmetry_Int_Tables_number 221
_symmetry_space_group_name_Hall '-P 4 2 3'
_cell_length_a 5.072
_cell_length_b 5.072
_cell_length_c 5.072
_cell_angle_alpha 90.00
_cell_angle_beta 90.00
_cell_angle_gamma 90.00
loop_
_atom_site_label
_atom_site_fract_x
_atom_site_fract_y
_atom_site_fract_z
Be1 0.000 0.000 0.000
Cu1 0.500 0.500 0.500
Pb1 0.000 0.000 0.500
# **Offset from the most stable computed form**: 0 meV per atom
# **Formation energy**: 0.598 eV per atom
# **Total magnetization**: 0.00 μB/f.u.
# **D(E_F)**: 0.5360 states/eV per atom

***

# PBE Ba5Cl, optimized geometry
data_Ba5Cl
_symmetry_space_group_name_H-M 'P -6 2 m'
_symmetry_Int_Tables_number 189
_symmetry_space_group_name_Hall 'P -6 -2'
_cell_length_a 7.5778
_cell_length_b 7.5778
_cell_length_c 6.8432
_cell_angle_alpha 90.00
_cell_angle_beta 90.00
_cell_angle_gamma 120.00
loop_
_atom_site_label
_atom_site_fract_x
_atom_site_fract_y
_atom_site_fract_z
Ba1 0.0000 0.6892 0.0000
Ba2 0.3333 0.6667 0.5000
Cl1 0.0000 0.0000 0.5000
# **E_form (uncorrected)**: -0.2256 eV/atom
# **Offset from the most stable computed form**: 277 meV per atom
# **Total magnetization**: 0.82 μB/f.u.
# **D(E_F)**: 1.6074 states/eV per atom